(1)
DFT (PBE) results for a relaxed Ac8Ru3RhBr3 crystal.

```
Ac8Ru3RhBr3
1.0
8.640 0.000 0.000
-4.320 7.488 -0.036
0.000 -4.969 8.280
Ac Ru Br Rh
8 3 3 1
Cartesian
0.000 2.501 2.510
-2.141 3.751 5.699
0.000 0.039 5.718
2.141 3.751 5.699
6.461 -1.232 2.545
2.179 -1.232 2.545
4.320 0.018 5.734
4.320 2.480 2.526
2.160 1.259 4.122
4.320 -2.484 4.140
-2.160 1.259 4.122
0.000 0.000 0.000
-2.160 3.744 -0.018
2.160 3.744 -0.018
0.000 -2.484 4.140
```

Summary:
The value obtained for the energy is -84.48 eV for the cell shown. The value obtained for the total magnetization is 0.00 μB/atom. Its density is 7.654 g/cm3. As for the density of states at the Fermi level: 0.35 states/eV per atom. The calculation puts the uncorrected formation energy at -0.7611 eV per atom. Its space-group type is C2/m, No. 12.

=====

(2)
DFT (PBE) results for a relaxed ScGe3Mo crystal.

```
ScGe3Mo
1.0
-0.660 0.245 -4.943
4.773 -1.287 -0.701
-1.308 -4.818 -0.064
Ge Sc Mo
3 1 1
Cartesian
-0.330 0.122 -2.472
2.387 -0.643 -0.351
-0.654 -2.409 -0.032
0.000 0.000 0.000
1.402 -2.930 -2.854
```

Summary:
The value obtained for the energy is -25.49 eV for the cell shown. The value obtained for the total magnetization is 0.69 μB/atom. Its density is 4.786 g/cm3. The calculation puts the formation energy at 5.53 eV per formula unit. As for the density of states at the Fermi level: 0.60 states/eV per atom. The energy above the most stable polymorph in this dataset is 802 meV per atom. Its space-group type is Pm-3m, No. 221.

=====

(3)
DFT (PBE) results for a relaxed Mg2IrCl crystal.

```
Mg2IrCl
1.0
-4.105 2.083 5.798
-1.292 -2.054 -4.122
-1.219 -2.292 1.524
Ir Mg Cl
1 2 1
Cartesian
-2.698 0.015 0.838
-2.662 -0.105 3.661
0.000 0.000 0.000
-1.255 -2.173 -1.299
```

Summary:
The value obtained for the energy is -15.70 eV for the cell shown. The value obtained for the total magnetization is 0.02 μB/atom. Its density is 6.664 g/cm3. As for the density of states at the Fermi level: 0.52 states/eV per atom. The energy above the most stable polymorph in this dataset is 289 meV per atom. The calculation puts the uncorrected formation energy at -0.4519 eV per atom. Its space-group type is P4/mmm, No. 123.

=====

(4)
DFT (PBE) results for a relaxed LaTbCe2 crystal.

```
LaTbCe2
1.0
5.121 0.000 0.000
0.000 4.947 0.000
0.000 0.000 4.947
Ce La Tb
2 1 1
Cartesian
0.000 2.473 0.000
0.000 0.000 2.473
2.561 0.000 0.000
2.561 2.473 2.473
```

Summary:
The value obtained for the energy is -20.99 eV for the cell shown. The value obtained for the total magnetization is 0.43 μB/atom. Its density is 7.659 g/cm3. The calculation puts the formation energy at 0.44 eV per formula unit. As for the density of states at the Fermi level: 2.57 states/eV per atom. The energy above the most stable polymorph in this dataset is 0 meV per atom. Its space-group type is P4/mmm, No. 123.

=====

(5)
DFT (PBE) results for a relaxed TaBeAs2 crystal.

```
TaBeAs2
1.0
3.684 0.000 0.000
0.000 5.021 0.000
0.000 0.000 3.515
Ta As Be
1 2 1
Cartesian
0.000 2.511 1.757
1.842 2.511 0.000
0.000 0.000 0.000
1.842 0.000 1.757
```

Summary:
The value obtained for the energy is -23.83 eV for the cell shown. The value obtained for the total magnetization is 0.00 μB/atom. Its density is 8.678 g/cm3. The calculation puts the formation energy at 1.05 eV per formula unit. As for the density of states at the Fermi level: 0.43 states/eV per atom. Its space-group type is Pmmm, No. 47.

=====

(6)
DFT (PBE) results for a relaxed Nb3SnSe crystal.

```
Nb3SnSe
1.0
5.091 0.000 0.000
0.000 5.091 0.000
0.000 0.000 5.091
Nb Sn Se
3 1 1
Cartesian
2.545 0.000 0.000
0.000 0.000 2.545
0.000 2.545 0.000
0.000 0.000 0.000
2.545 2.545 2.545
```

Summary:
The value obtained for the energy is -29.13 eV for the cell shown. The value obtained for the total magnetization is 0.33 μB/atom. Its density is 5.997 g/cm3. As for the density of states at the Fermi level: 2.25 states/eV per atom. The energy above the most stable polymorph in this dataset is 2013 meV per atom. The calculation puts the uncorrected formation energy at 1.7141 eV per atom. Its space-group type is Pm-3m, No. 221.

=====

(7)
DFT (PBE) results for a relaxed Ta2TcRu crystal.

```
Ta2TcRu
1.0
-0.761 -2.804 1.319
1.551 -1.520 -2.337
5.388 0.167 3.468
Tc Ta Ru
1 2 1
Cartesian
2.614 0.081 1.682
1.822 -2.118 0.409
5.313 0.165 3.419
4.512 -2.034 2.141
```

Summary:
The value obtained for the energy is -44.05 eV for the cell shown. The value obtained for the total magnetization is 0.00 μB/atom. Its density is 14.277 g/cm3. The calculation puts the formation energy at -0.70 eV per formula unit. As for the density of states at the Fermi level: 0.53 states/eV per atom. Its space-group type is P4mm, No. 99.

=====

(8)
DFT (PBE) results for a relaxed MnCrCl2 crystal.

```
MnCrCl2
1.0
-3.093 2.983 -2.688
-3.383 -3.763 -0.284
-5.387 1.221 2.774
Cl Mn Cr
4 2 2
Cartesian
-9.722 0.216 -0.521
-3.834 -1.687 0.192
-6.454 0.639 0.968
-3.716 1.712 -1.034
0.000 0.000 0.000
-5.859 1.907 -0.700
-6.004 -1.466 0.502
-3.238 -0.390 -1.486
```

Summary:
The value obtained for the energy is -40.69 eV for the cell shown. The value obtained for the total magnetization is 0.00 μB/atom. Its density is 4.565 g/cm3. As for the density of states at the Fermi level: 0.78 states/eV per atom. The energy above the most stable polymorph in this dataset is 806 meV per atom. The calculation puts the uncorrected formation energy at 0.5348 eV per atom. Its space-group type is I-42d, No. 122.

=====

(9)
DFT (PBE) results for a relaxed NaInSe2 crystal.

```
NaInSe2
1.0
8.332 -0.017 0.042
1.052 4.035 -0.001
1.026 -0.266 7.221
Se In Na
4 2 2
Cartesian
2.120 3.197 2.025
4.284 2.633 5.251
5.342 0.202 1.687
8.343 1.578 5.632
4.589 2.554 2.657
1.816 3.280 4.620
5.504 0.160 6.084
8.185 1.616 1.231
```

Summary:
The value obtained for the energy is -28.43 eV for the cell shown. The value obtained for the total magnetization is 0.00 μB/atom. Its density is 4.046 g/cm3. As for the density of states at the Fermi level: 0.00 states/eV per atom. The calculation puts the uncorrected formation energy at -0.7965 eV per atom. Its space-group type is C2/m, No. 12.

=====

(10)
DFT (PBE) results for a relaxed Zr2SiAs2 crystal.

```
Zr2SiAs2
1.0
-1.860 6.682 -2.402
-6.000 -0.150 4.227
1.887 1.507 2.732
As Zr Si
4 4 2
Cartesian
-5.399 4.914 3.451
-2.801 6.434 0.818
-3.172 1.605 3.738
-0.574 3.125 1.105
-2.174 4.375 -0.912
-2.344 1.007 1.064
-5.515 5.525 0.760
-5.685 2.157 2.737
-3.930 3.266 0.912
0.000 0.000 0.000
```

Summary:
The value obtained for the energy is -70.15 eV for the cell shown. The value obtained for the total magnetization is 0.00 μB/atom. Its density is 6.092 g/cm3. As for the density of states at the Fermi level: 0.60 states/eV per atom. The calculation puts the uncorrected formation energy at -0.6510 eV per atom. Its space-group type is P4/mbm, No. 127.